A plane-wave DFT calculation with PBE-GGA was carried out for a geometry-optimized Fe2AgP structure.

Values from the calculation:
ΔE_f ... 188 meV per atom
DOS at the Fermi energy ... 3.108 states/eV per cell
SG ... No. 6
Spin magnetization ... 4.3 μB per formula unit

CIF file:
```
data_Fe2AgP
_cell_length_a 3.996
_cell_length_b 2.788
_cell_length_c 5.133
_cell_angle_alpha 79.56
_cell_angle_beta 90.00
_cell_angle_gamma 90.00
_symmetry_space_group_name_H-M 'P 1'
_symmetry_Int_Tables_number 1
loop_
_symmetry_equiv_pos_as_xyz
'x,y,z'
loop_
_atom_site_label
_atom_site_fract_x
_atom_site_fract_y
_atom_site_fract_z
_atom_site_occupancy
Ag1 0.500 0.647 0.751 1
Fe1 0.000 0.047 0.061 1
Fe2 0.500 0.334 0.263 1
P1 0.000 0.472 0.425 1
```